A plane-wave DFT calculation with SCAN was carried out for ScCo2Au at its PBEsol-relaxed geometry.

Properties
- Crystal system: tetragonal
- Formation enthalpy at 0 K: -0.172 eV/atom
- Space group: P4/mmm

a b c (Å): 3.193 3.193 5.582
angles (deg): 90.00 90.00 90.00
Sites, in units of the cell vectors:
1 Co 0.000 0.000 0.743
2 Au 0.500 0.500 0.500
3 Co 0.000 0.000 0.257
4 Sc 0.500 0.500 0.000